Cs2HfNi2S4: relaxed, PBE-GGA.

Lattice parameters (Å, degrees): 3.7665 8.1322 7.2118 105.97 105.14 90.00
With the nearest neighbours (Å) after each atom.
Fractional positions:
Cs: 0.1394 0.5631 0.2787  7 S 3.39-3.66, 3 Cs 3.72-3.77, 1 Ni 3.76
Cs: 0.8606 0.4369 0.7213  7 S 3.39-3.66, 3 Cs 3.72-3.77, 1 Ni 3.76
Ni: 0.6829 0.9918 0.3658  4 S 2.25-2.35
Ni: 0.3171 0.0082 0.6342  4 S 2.25-2.35
S: 0.1917 0.1473 0.3835  3 Ni 2.25-2.33
S: 0.4779 0.2049 0.9559  1 Ni 2.35, 2 Hf 2.59
S: 0.5221 0.7951 0.0441  1 Ni 2.35, 2 Hf 2.59
S: 0.8083 0.8527 0.6165  3 Ni 2.25-2.33
Hf: 0.0000 0.0000 0.0000  6 S 2.59-2.60

Output
- raw formation energy (eV/atom) = -1.020
- total moment (μB/f.u.) = 0.92
- symmetry = C2/m, No. 12

Cs2HfNiS4: relaxed, PBE-GGA.

Lattice parameters (Å, degrees): 5.8611 7.7256 13.1424 85.15 77.12 67.71
With the nearest neighbours (Å) after each atom.
Fractional positions:
Ni: 0.5000 0.0000 0.0000  4 S 2.29
Ni: 0.2500 0.5000 0.5000  4 S 2.29
S: 0.4454 0.6817 0.4009  1 Ni 2.29, 1 Hf 2.38
S: 0.2219 0.1817 0.9009  1 Ni 2.29, 1 Hf 2.38
S: 0.8771 0.8183 0.9009  1 Ni 2.29, 1 Hf 2.38
S: 0.8729 0.6817 0.5991  1 Ni 2.29, 1 Hf 2.38
S: 0.1537 0.3183 0.4009  1 Ni 2.29, 1 Hf 2.38
S: 0.3046 0.8183 0.0991  1 Ni 2.29, 1 Hf 2.38
S: 0.5281 0.3183 0.5991  1 Ni 2.29, 1 Hf 2.38
S: 0.5963 0.1817 0.0991  1 Ni 2.29, 1 Hf 2.38
Cs: 0.1764 0.0000 0.6473  8 S 3.70-3.89
Cs: 0.9264 0.5000 0.1473  8 S 3.70-3.89
Cs: 0.5736 0.5000 0.8527  8 S 3.70-3.89
Cs: 0.8236 0.0000 0.3527  8 S 3.70-3.89
Hf: 0.7500 0.5000 0.5000  4 S 2.38
Hf: 0.0000 0.0000 0.0000  4 S 2.38

Output
- raw formation energy (eV/atom) = -1.145
- total moment (μB/f.u.) = 2.00
- symmetry = Fddd, No. 70